First-principles (PBE+U) data for crystalline NiPPtO2 at its relaxed geometry, as listed in Alexandria.

Cell lengths 3.793, 3.793, 5.245 Å; angles 90.00, 90.00, 90.00 degrees
Space group P4/mmm (No. 123)
Inequivalent atoms, fractional coordinates:
Ni1 0.000 0.000 0.000 x1
P1 0.500 0.500 0.000 x1
Pt1 0.500 0.500 0.500 x1
O1 0.000 0.500 0.500 x2

Theoretical density, Mg/m³: 6.97
ΔE to the lowest computed polymorph, meV per atom: 94
DOS(E_F), states/eV per cell: 4.3